(1)
Density functional theory data (PBE) for an optimized crystal structure of CaLa3Pr2Te6.

```
CaLa3Pr2Te6
1.0
4.544 0.000 0.000
0.000 9.123 0.351
-2.272 -2.604 9.566
Ca La Pr Te
1 3 2 6
Direct
0.500 0.000 0.000
0.500 0.500 0.000
0.831 0.168 0.662
0.169 0.832 0.338
0.829 0.659 0.659
0.171 0.341 0.341
0.337 0.916 0.674
0.665 0.583 0.330
0.663 0.084 0.326
0.001 0.243 0.002
0.999 0.757 0.998
0.335 0.417 0.670
```

Density = 6233 kg/m3
E_form (uncorrected) = -1.5481 eV per atom
Crystal system = monoclinic

***

(2)
Density functional theory data (PBE) for an optimized crystal structure of Ca2La3PrTe6.

```
Ca2La3PrTe6
1.0
7.874 -0.004 -0.001
-3.938 6.818 -0.001
-1.314 -2.275 7.443
Ca La Pr Te
2 3 1 6
Direct
0.333 0.667 0.000
0.667 0.333 0.000
0.165 0.835 0.500
0.835 0.165 0.500
0.500 0.500 0.500
0.000 0.000 0.000
0.919 0.581 0.758
0.742 0.742 0.242
0.081 0.419 0.242
0.581 0.919 0.758
0.258 0.258 0.758
0.419 0.081 0.242
```

Density = 5835 kg/m3
E_form (uncorrected) = -1.5620 eV per atom
Crystal system = monoclinic

***

(3)
Density functional theory data (PBE) for an optimized crystal structure of CaLaPr2Te4.

```
CaLaPr2Te4
1.0
-3.709 -8.246 0.833
1.988 -1.769 -8.681
6.539 2.571 5.666
Ca La Pr Te
2 2 4 8
Direct
0.000 0.500 0.000
0.000 0.500 0.500
0.500 0.500 0.500
0.000 0.000 0.000
0.500 0.000 0.000
0.500 0.000 0.500
0.000 0.000 0.500
0.500 0.500 0.000
0.245 0.744 0.994
0.756 0.255 0.506
0.244 0.745 0.494
0.755 0.256 0.006
0.753 0.747 0.001
0.753 0.747 0.499
0.247 0.253 0.501
0.247 0.253 0.999
```

Density = 6094 kg/m3
E_form (uncorrected) = -1.5168 eV per atom
Crystal system = orthorhombic

***

(4)
Density functional theory data (PBE) for an optimized crystal structure of CaLa2PrTe4.

```
CaLa2PrTe4
1.0
4.528 0.000 0.000
0.000 7.868 -0.167
0.000 2.759 7.423
Ca La Pr Te
1 2 1 4
Direct
0.500 0.500 0.000
0.000 0.000 0.000
0.500 0.000 0.500
0.000 0.500 0.500
0.000 0.742 0.756
0.000 0.258 0.244
0.500 0.745 0.247
0.500 0.255 0.753
```

Density = 6037 kg/m3
E_form (uncorrected) = -1.5513 eV per atom
Crystal system = monoclinic

***

(5)
Density functional theory data (PBE) for an optimized crystal structure of Ca3LaPr3Te8.

```
Ca3LaPr3Te8
1.0
-1.750 4.644 7.525
6.856 -5.848 -0.196
0.560 7.758 -4.658
Ca La Pr Te
3 1 3 8
Direct
0.000 0.000 0.000
0.000 0.500 0.000
0.500 0.500 0.000
0.000 0.000 0.500
0.500 0.000 0.500
0.500 0.500 0.500
0.000 0.500 0.500
0.248 0.496 0.244
0.752 0.504 0.756
0.746 0.492 0.244
0.254 0.508 0.756
0.746 0.998 0.244
0.254 0.002 0.756
0.252 0.998 0.244
0.748 0.002 0.756
```

Density = 5413 kg/m3
E_form (uncorrected) = -1.5380 eV per atom
Crystal system = trigonal

***

(6)
Density functional theory data (PBE) for an optimized crystal structure of CaLaPrTh.

```
CaLaPrTh
1.0
-4.233 4.052 0.539
-5.653 -1.635 0.016
-3.144 0.328 4.964
Pr Ca Th La
1 1 1 1
Direct
0.000 0.000 0.000
0.250 0.250 0.250
0.750 0.750 0.750
0.500 0.500 0.500
```

ΔE to the lowest computed polymorph = 182.7 meV per atom
Density = 6359 kg/m3
Crystal system = cubic

***

Across the entries above, total moment takes the values 0.0; 0.0; 0.0; 0.0; 0.0; 0.2 μB per formula unit, respectively.